# FeGeTe2N GGA-PBE relaxed
# E_form (uncorrected) = 0.958 eV/atom
# total magnetic moment = 3.4 μB per formula unit
# relative energy among the computed polymorphs = 15.928 kcal/mol of atoms
# calculated volume = 22.17 Å³/atom
data_FeGeTe2N
_chemical_formula_sum 'Fe1 Ge1 Te2 N1'
_symmetry_space_group_name_H-M 'P 4/m m m'
_symmetry_Int_Tables_number 123
_symmetry_space_group_name_Hall '-P 4 2'
_cell_length_a 5.647
_cell_length_b 5.647
_cell_length_c 3.477
_cell_angle_alpha 90.00
_cell_angle_beta 90.00
_cell_angle_gamma 90.00
loop_
_atom_site_label
_atom_site_type_symbol
_atom_site_fract_x
_atom_site_fract_y
_atom_site_fract_z
Fe1 Fe 0.000 0.000 0.000
Ge1 Ge 0.500 0.500 0.500
Te1 Te 0.000 0.500 0.500
N1 N 0.500 0.500 0.000